# Al3VFe4

Crystalline Al3VFe4 at its relaxed geometry (PBE-GGA, Alexandria via LeMat-Bulk).

Its crystal system is tetragonal. The calculation puts the formation energy from the elements at -34.0 kJ per mole of atoms. The value obtained for the density of states at the Fermi level is 5.81 states/eV per cell.

a b c (Å): 2.8632 2.8632 11.4734
angles (deg): 90.00 90.00 90.00
Closest atoms and distances in Å follow each position.
Fractional coordinates of all 8 atoms:
Al: 0.0000 0.0000 0.0000  8 Fe 2.48
Al: 0.0000 0.0000 0.2500  8 Fe 2.48-2.52
Al: 0.0000 0.0000 0.7500  8 Fe 2.48-2.52
V: 0.0000 0.0000 0.5000  8 Fe 2.44
Fe: 0.5000 0.5000 0.1246  8 Al 2.48
Fe: 0.5000 0.5000 0.3805  4 V 2.44, 4 Al 2.52
Fe: 0.5000 0.5000 0.6195  4 V 2.44, 4 Al 2.52
Fe: 0.5000 0.5000 0.8754  8 Al 2.48

---

# AlV6Fe

Crystalline AlV6Fe at its relaxed geometry (PBE-GGA, Alexandria via LeMat-Bulk).

Its crystal system is orthorhombic. The calculation puts the formation energy from the elements at -10.9 kJ per mole of atoms. Its relative energy among the computed polymorphs is 0.056 eV/atom. The value obtained for the density of states at the Fermi level is 7.20 states/eV per cell.

a b c (Å): 4.1692 5.1638 5.1638
angles (deg): 70.24 90.00 90.00
Closest atoms and distances in Å follow each position.
Fractional coordinates of all 8 atoms:
Al: 0.0000 0.0000 0.0000  8 V 2.57-2.61
V: 0.0000 0.4958 0.4958  8 V 2.51-2.59
V: 0.0000 0.4996 0.9926  2 Fe 2.55, 2 Al 2.57-2.60, 4 V 2.57-2.59
V: 0.0000 0.9926 0.4996  2 Fe 2.55, 2 Al 2.57-2.60, 4 V 2.57-2.59
V: 0.5000 0.2376 0.2376  8 V 2.57-2.59
V: 0.5000 0.2566 0.7290  5 V 2.51-2.81, 2 Fe 2.56-2.61, 2 Al 2.61
V: 0.5000 0.7290 0.2566  5 V 2.51-2.81, 2 Fe 2.56-2.61, 2 Al 2.61
Fe: 0.5000 0.7537 0.7537  8 V 2.55-2.61

---

# AlV6Fe

Crystalline AlV6Fe at its relaxed geometry (PBE-GGA, Alexandria via LeMat-Bulk).

Its crystal system is cubic. The calculation puts the formation energy from the elements at -16.3 kJ per mole of atoms. Its relative energy among the computed polymorphs is 0.000 eV/atom. The value obtained for the density of states at the Fermi level is 5.49 states/eV per cell.

a b c (Å): 4.7119 4.7119 4.7119
angles (deg): 90.00 90.00 90.00
Closest atoms and distances in Å follow each position.
Fractional coordinates of all 8 atoms:
Al: 0.0000 0.0000 0.0000  12 V 2.65
V: 0.0000 0.2569 0.5000  2 V 2.29-2.42
V: 0.0000 0.7431 0.5000  2 V 2.29-2.42
V: 0.2569 0.5000 0.0000  2 V 2.29-2.42
V: 0.5000 0.0000 0.2569  2 V 2.29-2.42
V: 0.5000 0.0000 0.7431  2 V 2.29-2.42
V: 0.7431 0.5000 0.0000  2 V 2.29-2.42
Fe: 0.5000 0.5000 0.5000  12 V 2.62

---

# AlVFe3

Crystalline AlVFe3 at its relaxed geometry (PBE-GGA, Alexandria via LeMat-Bulk).

Its crystal system is cubic. The calculation puts the formation energy from the elements at 91.7 kJ per mole of atoms. Its relative energy among the computed polymorphs is 0.000 eV/atom. The value obtained for the density of states at the Fermi level is 5.10 states/eV per cell.

a b c (Å): 4.2309 4.2309 4.2309
angles (deg): 90.00 90.00 90.00
Closest atoms and distances in Å follow each position.
Fractional coordinates of all 5 atoms:
Al: 0.0000 0.0000 0.0000  12 Fe 2.99
V: 0.5000 0.5000 0.5000  6 Fe 2.12
Fe: 0.0000 0.5000 0.5000  2 V 2.12
Fe: 0.5000 0.0000 0.5000  2 V 2.12
Fe: 0.5000 0.5000 0.0000  2 V 2.12

---

Which of these has the highest formation energy from the elements?
AlVFe3

---

Among the records above, which one has the lowest formation energy from the elements?
Al3VFe4

---

formation energy from the elements of number 2 (AlV6Fe)?
-10.9 kJ per mole of atoms